3
Lattice="4.671 0.000 0.000 -2.336 4.046 0.000 0.000 0.000 4.193" Properties=species:S:1:pos:R:3 comment="ScHgBi (PBE-GGA, relaxed)" polymorph_energy_ev_per_atom=0.0378 formation_energy_ev_per_atom=-0.264 m_tot_mub_per_fu=0.000 crystal_system=trigonal vol_a3_per_atom=26.4 spacegroup="No. 156" pbc="T T T"
Sc 0.000 0.000 0.000
Hg 0.000 2.697 0.988
Bi 2.336 1.349 2.519